Entry 1:
A relaxed structure of CdCo2Si. Source: the Alexandria database, functional GGA-PBEsol.

Unit cell a=8.0760 b=8.0760 c=8.0760 alpha=19.40 beta=19.40 gamma=19.40
With the nearest neighbours (Å) after each atom.
Fractional coordinates of all 4 atoms:
Cd 0.0000 0.0000 0.0000  6 Cd 2.72, 6 Co 2.76
Co 0.2376 0.2376 0.2376  3 Si 2.30
Co 0.7624 0.7624 0.7624  3 Si 2.30
Si 0.5000 0.5000 0.5000  6 Co 2.30

Values from the calculation:
ΔE to the lowest computed polymorph = 0 meV per atom
symmetry = R-3m (166)
E_form (uncorrected) = -45 meV per atom



Entry 2:
A relaxed structure of Pr5Ga3. Source: the Alexandria database, functional GGA-PBEsol.

Unit cell a=7.8022 b=7.8022 c=14.3964 alpha=90.00 beta=90.00 gamma=90.00
With the nearest neighbours (Å) after each atom.
Fractional coordinates of all 32 atoms:
Pr 0.0645 0.5907 0.1025  5 Ga 3.08-3.34, 1 Pr 3.42
Pr 0.0645 0.9093 0.6025  5 Ga 3.08-3.34, 1 Pr 3.42
Pr 0.0907 0.5645 0.3975  5 Ga 3.08-3.34, 1 Pr 3.42
Pr 0.0907 0.9355 0.8975  5 Ga 3.08-3.34, 1 Pr 3.42
Pr 0.2500 0.2500 0.2173  5 Ga 3.06-3.15
Pr 0.2500 0.2500 0.7173  5 Ga 3.06-3.15
Pr 0.4093 0.5645 0.8975  5 Ga 3.08-3.34, 1 Pr 3.42
Pr 0.4093 0.9355 0.3975  5 Ga 3.08-3.34, 1 Pr 3.42
Pr 0.4355 0.5907 0.6025  5 Ga 3.08-3.34, 1 Pr 3.42
Pr 0.4355 0.9093 0.1025  5 Ga 3.08-3.34, 1 Pr 3.42
Pr 0.5645 0.0907 0.8975  5 Ga 3.08-3.34, 1 Pr 3.42
Pr 0.5645 0.4093 0.3975  5 Ga 3.08-3.34, 1 Pr 3.42
Pr 0.5907 0.0645 0.6025  5 Ga 3.08-3.34, 1 Pr 3.42
Pr 0.5907 0.4355 0.1025  5 Ga 3.08-3.34, 1 Pr 3.42
Pr 0.7500 0.7500 0.2827  5 Ga 3.06-3.15
Pr 0.7500 0.7500 0.7827  5 Ga 3.06-3.15
Pr 0.9093 0.0645 0.1025  5 Ga 3.08-3.34, 1 Pr 3.42
Pr 0.9093 0.4355 0.6025  5 Ga 3.08-3.34, 1 Pr 3.42
Pr 0.9355 0.0907 0.3975  5 Ga 3.08-3.34, 1 Pr 3.42
Pr 0.9355 0.4093 0.8975  5 Ga 3.08-3.34, 1 Pr 3.42
Ga 0.1318 0.6318 0.7500  1 Ga 2.61
Ga 0.1318 0.8682 0.2500  1 Ga 2.61
Ga 0.2500 0.2500 0.0044  9 Pr 3.06-3.34
Ga 0.2500 0.2500 0.5044  9 Pr 3.06-3.34
Ga 0.3682 0.6318 0.2500  1 Ga 2.61
Ga 0.3682 0.8682 0.7500  1 Ga 2.61
Ga 0.6318 0.1318 0.2500  1 Ga 2.61
Ga 0.6318 0.3682 0.7500  1 Ga 2.61
Ga 0.7500 0.7500 0.4956  9 Pr 3.06-3.34
Ga 0.7500 0.7500 0.9956  9 Pr 3.06-3.34
Ga 0.8682 0.1318 0.7500  1 Ga 2.61
Ga 0.8682 0.3682 0.2500  1 Ga 2.61

Values from the calculation:
DFT total energy = -0.1821 hartree per atom
symmetry = P4/ncc (130)



Entry 3:
A relaxed structure of SrLaAu. Source: the Alexandria database, functional GGA-PBEsol.

Unit cell a=7.3463 b=7.3463 c=7.3463 alpha=150.26 beta=150.26 gamma=42.57
With the nearest neighbours (Å) after each atom.
Fractional coordinates of all 3 atoms:
Sr 0.0000 0.0000 0.0000  4 Au 3.33, 1 La 3.57
La 0.2611 0.2611 0.0000  4 Au 3.10
Au 0.6463 0.6463 0.0000  4 La 3.10, 4 Sr 3.33

Values from the calculation:
DFT total energy = -0.1526 hartree per atom
symmetry = I4mm (107)



Entry 4:
A relaxed structure of CaTl2Au. Source: the Alexandria database, functional GGA-PBEsol.

Unit cell a=5.8876 b=5.8876 c=5.8876 alpha=142.10 beta=127.04 gamma=66.95
With the nearest neighbours (Å) after each atom.
Fractional coordinates of all 4 atoms:
Ca 0.0000 0.0000 0.0000  4 Au 3.25, 8 Tl 3.32-3.42
Tl 0.2765 0.7765 0.5000  2 Au 2.91
Tl 0.7235 0.2235 0.5000  2 Au 2.91
Au 0.5000 0.5000 0.0000  4 Tl 2.91, 4 Ca 3.25

Values from the calculation:
DFT total energy = -0.1162 hartree per atom
symmetry = Immm (71)



Entry 5:
A relaxed structure of ScBO3. Source: the Alexandria database, functional GGA-PBEsol.

Unit cell a=3.3405 b=3.3405 c=3.3405 alpha=90.00 beta=90.00 gamma=90.00
With the nearest neighbours (Å) after each atom.
Fractional coordinates of all 5 atoms:
Sc 0.0000 0.0000 0.0000  12 O 2.36
B 0.5000 0.5000 0.5000  6 O 1.67
O 0.0000 0.5000 0.5000  2 B 1.67
O 0.5000 0.0000 0.5000  2 B 1.67
O 0.5000 0.5000 0.0000  2 B 1.67

Values from the calculation:
symmetry = Pm-3m (221)
E_form (uncorrected) = -2213 meV per atom



Entry 6:
A relaxed structure of TlSi2Se. Source: the Alexandria database, functional GGA-PBEsol.

Unit cell a=7.3250 b=7.3250 c=7.3250 alpha=29.23 beta=29.23 gamma=29.23
With the nearest neighbours (Å) after each atom.
Fractional coordinates of all 4 atoms:
Tl 0.0000 0.0000 0.0000  6 Si 2.86
Si 0.2425 0.2425 0.2425  3 Se 2.66, 3 Tl 2.86
Si 0.7575 0.7575 0.7575  3 Se 2.66, 3 Tl 2.86
Se 0.5000 0.5000 0.5000  6 Si 2.66

Values from the calculation:
ΔE to the lowest computed polymorph = 233 meV per atom
symmetry = R-3m (166)
E_form (uncorrected) = 338 meV per atom



Entry 7:
A relaxed structure of YCd3Hg. Source: the Alexandria database, functional GGA-PBEsol.

Unit cell a=5.8563 b=5.8563 c=5.8563 alpha=90.00 beta=90.00 gamma=90.00
With the nearest neighbours (Å) after each atom.
Fractional coordinates of all 5 atoms:
Y 0.0000 0.0000 0.0000  6 Cd 2.93
Cd 0.0000 0.0000 0.5000  2 Y 2.93
Cd 0.0000 0.5000 0.0000  2 Y 2.93
Cd 0.5000 0.0000 0.0000  2 Y 2.93
Hg 0.5000 0.5000 0.5000  12 Cd 4.14

Values from the calculation:
DFT total energy = -0.0520 hartree per atom
symmetry = Pm-3m (221)



Entry 8:
A relaxed structure of RbP2NCl. Source: the Alexandria database, functional GGA-PBEsol.

Unit cell a=7.7013 b=7.7013 c=5.9206 alpha=90.00 beta=90.00 gamma=90.00
With the nearest neighbours (Å) after each atom.
Fractional coordinates of all 5 atoms:
Rb 0.0000 0.0000 0.0000  2 Cl 2.96
P 0.0000 0.5000 0.0000  2 Rb 3.85
P 0.5000 0.0000 0.0000  2 Rb 3.85
N 0.5000 0.5000 0.5000  8 P 4.86
Cl 0.0000 0.0000 0.5000  2 Rb 2.96

Values from the calculation:
ΔE to the lowest computed polymorph = 1727 meV per atom
symmetry = P4/mmm (123)
E_form (uncorrected) = 2038 meV per atom



Entry 9:
A relaxed structure of BaP2Au. Source: the Alexandria database, functional GGA-PBEsol.

Unit cell a=5.0142 b=5.0142 c=5.0142 alpha=60.00 beta=60.00 gamma=60.00
With the nearest neighbours (Å) after each atom.
Fractional coordinates of all 4 atoms:
Ba 0.0000 0.0000 0.0000  4 P 3.07, 4 Au 3.07
P 0.5000 0.5000 0.5000  4 P 3.07, 4 Au 3.07
P 0.7500 0.7500 0.7500  4 Ba 3.07, 4 P 3.07
Au 0.2500 0.2500 0.2500  4 Ba 3.07, 4 P 3.07

Values from the calculation:
DFT total energy = -0.1567 hartree per atom
symmetry = F-43m (216)



Entry 10:
A relaxed structure of Ba2YSbBr. Source: the Alexandria database, functional GGA-PBEsol.

Unit cell a=6.6497 b=6.6497 c=5.6921 alpha=90.00 beta=90.00 gamma=90.00
With the nearest neighbours (Å) after each atom.
Fractional coordinates of all 5 atoms:
Ba 0.0000 0.5000 0.0000  2 Sb 3.32
Ba 0.5000 0.0000 0.0000  2 Sb 3.32
Y 0.0000 0.0000 0.5000  8 Ba 4.38, 4 Br 4.70
Sb 0.5000 0.5000 0.0000  2 Br 2.85
Br 0.5000 0.5000 0.5000  2 Sb 2.85

Values from the calculation:
symmetry = P4/mmm (123)
E_form (uncorrected) = 96 meV per atom



Entry 11:
A relaxed structure of MgTi4P6O24. Source: the Alexandria database, functional GGA-PBEsol.

Unit cell a=8.4697 b=8.4697 c=8.4697 alpha=60.92 beta=60.92 gamma=60.92
With the nearest neighbours (Å) after each atom.
Fractional coordinates of all 35 atoms:
Mg 0.0000 0.0000 0.0000  6 O 2.15
Ti 0.1459 0.1459 0.1459  6 O 1.86-2.06
Ti 0.3687 0.3687 0.3687  6 O 1.91-1.95
Ti 0.6313 0.6313 0.6313  6 O 1.91-1.95
Ti 0.8541 0.8541 0.8541  6 O 1.86-2.06
P 0.0302 0.7543 0.4537  4 O 1.52-1.55
P 0.2457 0.5463 0.9698  4 O 1.52-1.55
P 0.4537 0.0302 0.7543  4 O 1.52-1.55
P 0.5463 0.9698 0.2457  4 O 1.52-1.55
P 0.7543 0.4537 0.0302  4 O 1.52-1.55
P 0.9698 0.2457 0.5463  4 O 1.52-1.55
O 0.0127 0.1789 0.3839  1 P 1.55
O 0.0479 0.9201 0.2596  1 P 1.55
O 0.0799 0.7404 0.9521  1 P 1.55
O 0.1330 0.3047 0.5036  1 P 1.52
O 0.1789 0.3839 0.0127  1 P 1.55
O 0.2231 0.5938 0.4404  1 P 1.53
O 0.2596 0.0479 0.9201  1 P 1.55
O 0.3047 0.5036 0.1330  1 P 1.52
O 0.3839 0.0127 0.1789  1 P 1.55
O 0.4062 0.5596 0.7769  1 P 1.53
O 0.4404 0.2231 0.5938  1 P 1.53
O 0.4964 0.8670 0.6953  1 P 1.52
O 0.5036 0.1330 0.3047  1 P 1.52
O 0.5596 0.7769 0.4062  1 P 1.53
O 0.5938 0.4404 0.2231  1 P 1.53
O 0.6161 0.9873 0.8211  1 P 1.55
O 0.6953 0.4964 0.8670  1 P 1.52
O 0.7404 0.9521 0.0799  1 P 1.55
O 0.7769 0.4062 0.5596  1 P 1.53
O 0.8211 0.6161 0.9873  1 P 1.55
O 0.8670 0.6953 0.4964  1 P 1.52
O 0.9201 0.2596 0.0479  1 P 1.55
O 0.9521 0.0799 0.7404  1 P 1.55
O 0.9873 0.8211 0.6161  1 P 1.55

Values from the calculation:
symmetry = R-3 (148)
E_form (uncorrected) = -2594 meV per atom



Entry 12:
A relaxed structure of LaHgSb2I. Source: the Alexandria database, functional GGA-PBEsol.

Unit cell a=5.3541 b=5.3541 c=5.9567 alpha=90.00 beta=90.00 gamma=90.00
With the nearest neighbours (Å) after each atom.
Fractional coordinates of all 5 atoms:
La 0.0000 0.0000 0.0000  4 I 3.79, 8 Sb 4.00
Hg 0.5000 0.5000 0.5000  4 Sb 2.68, 2 I 2.98
Sb 0.0000 0.5000 0.5000  2 Hg 2.68
Sb 0.5000 0.0000 0.5000  2 Hg 2.68
I 0.5000 0.5000 0.0000  2 Hg 2.98

Values from the calculation:
symmetry = P4/mmm (123)
E_form (uncorrected) = 14 meV per atom



What did the second record say?
A relaxed structure of Pr5Ga3. Source: the Alexandria database, functional GGA-PBEsol.

Unit cell a=7.8022 b=7.8022 c=14.3964 alpha=90.00 beta=90.00 gamma=90.00
With the nearest neighbours (Å) after each atom.
Fractional coordinates of all 32 atoms:
Pr 0.0645 0.5907 0.1025  5 Ga 3.08-3.34, 1 Pr 3.42
Pr 0.0645 0.9093 0.6025  5 Ga 3.08-3.34, 1 Pr 3.42
Pr 0.0907 0.5645 0.3975  5 Ga 3.08-3.34, 1 Pr 3.42
Pr 0.0907 0.9355 0.8975  5 Ga 3.08-3.34, 1 Pr 3.42
Pr 0.2500 0.2500 0.2173  5 Ga 3.06-3.15
Pr 0.2500 0.2500 0.7173  5 Ga 3.06-3.15
Pr 0.4093 0.5645 0.8975  5 Ga 3.08-3.34, 1 Pr 3.42
Pr 0.4093 0.9355 0.3975  5 Ga 3.08-3.34, 1 Pr 3.42
Pr 0.4355 0.5907 0.6025  5 Ga 3.08-3.34, 1 Pr 3.42
Pr 0.4355 0.9093 0.1025  5 Ga 3.08-3.34, 1 Pr 3.42
Pr 0.5645 0.0907 0.8975  5 Ga 3.08-3.34, 1 Pr 3.42
Pr 0.5645 0.4093 0.3975  5 Ga 3.08-3.34, 1 Pr 3.42
Pr 0.5907 0.0645 0.6025  5 Ga 3.08-3.34, 1 Pr 3.42
Pr 0.5907 0.4355 0.1025  5 Ga 3.08-3.34, 1 Pr 3.42
Pr 0.7500 0.7500 0.2827  5 Ga 3.06-3.15
Pr 0.7500 0.7500 0.7827  5 Ga 3.06-3.15
Pr 0.9093 0.0645 0.1025  5 Ga 3.08-3.34, 1 Pr 3.42
Pr 0.9093 0.4355 0.6025  5 Ga 3.08-3.34, 1 Pr 3.42
Pr 0.9355 0.0907 0.3975  5 Ga 3.08-3.34, 1 Pr 3.42
Pr 0.9355 0.4093 0.8975  5 Ga 3.08-3.34, 1 Pr 3.42
Ga 0.1318 0.6318 0.7500  1 Ga 2.61
Ga 0.1318 0.8682 0.2500  1 Ga 2.61
Ga 0.2500 0.2500 0.0044  9 Pr 3.06-3.34
Ga 0.2500 0.2500 0.5044  9 Pr 3.06-3.34
Ga 0.3682 0.6318 0.2500  1 Ga 2.61
Ga 0.3682 0.8682 0.7500  1 Ga 2.61
Ga 0.6318 0.1318 0.2500  1 Ga 2.61
Ga 0.6318 0.3682 0.7500  1 Ga 2.61
Ga 0.7500 0.7500 0.4956  9 Pr 3.06-3.34
Ga 0.7500 0.7500 0.9956  9 Pr 3.06-3.34
Ga 0.8682 0.1318 0.7500  1 Ga 2.61
Ga 0.8682 0.3682 0.2500  1 Ga 2.61

Values from the calculation:
DFT total energy = -0.1821 hartree per atom
symmetry = P4/ncc (130)



What did the eleventh record say?
A relaxed structure of MgTi4P6O24. Source: the Alexandria database, functional GGA-PBEsol.

Unit cell a=8.4697 b=8.4697 c=8.4697 alpha=60.92 beta=60.92 gamma=60.92
With the nearest neighbours (Å) after each atom.
Fractional coordinates of all 35 atoms:
Mg 0.0000 0.0000 0.0000  6 O 2.15
Ti 0.1459 0.1459 0.1459  6 O 1.86-2.06
Ti 0.3687 0.3687 0.3687  6 O 1.91-1.95
Ti 0.6313 0.6313 0.6313  6 O 1.91-1.95
Ti 0.8541 0.8541 0.8541  6 O 1.86-2.06
P 0.0302 0.7543 0.4537  4 O 1.52-1.55
P 0.2457 0.5463 0.9698  4 O 1.52-1.55
P 0.4537 0.0302 0.7543  4 O 1.52-1.55
P 0.5463 0.9698 0.2457  4 O 1.52-1.55
P 0.7543 0.4537 0.0302  4 O 1.52-1.55
P 0.9698 0.2457 0.5463  4 O 1.52-1.55
O 0.0127 0.1789 0.3839  1 P 1.55
O 0.0479 0.9201 0.2596  1 P 1.55
O 0.0799 0.7404 0.9521  1 P 1.55
O 0.1330 0.3047 0.5036  1 P 1.52
O 0.1789 0.3839 0.0127  1 P 1.55
O 0.2231 0.5938 0.4404  1 P 1.53
O 0.2596 0.0479 0.9201  1 P 1.55
O 0.3047 0.5036 0.1330  1 P 1.52
O 0.3839 0.0127 0.1789  1 P 1.55
O 0.4062 0.5596 0.7769  1 P 1.53
O 0.4404 0.2231 0.5938  1 P 1.53
O 0.4964 0.8670 0.6953  1 P 1.52
O 0.5036 0.1330 0.3047  1 P 1.52
O 0.5596 0.7769 0.4062  1 P 1.53
O 0.5938 0.4404 0.2231  1 P 1.53
O 0.6161 0.9873 0.8211  1 P 1.55
O 0.6953 0.4964 0.8670  1 P 1.52
O 0.7404 0.9521 0.0799  1 P 1.55
O 0.7769 0.4062 0.5596  1 P 1.53
O 0.8211 0.6161 0.9873  1 P 1.55
O 0.8670 0.6953 0.4964  1 P 1.52
O 0.9201 0.2596 0.0479  1 P 1.55
O 0.9521 0.0799 0.7404  1 P 1.55
O 0.9873 0.8211 0.6161  1 P 1.55

Values from the calculation:
symmetry = R-3 (148)
E_form (uncorrected) = -2594 meV per atom